Crystalline CuSnTe3 at its relaxed geometry, computed with GGA-PBE.

Values from the calculation:
Energy relative to the elements, uncorrected ... 0.216 eV per atom
Spin magnetization ... 0.0000 μB/atom
SG ... Pm-3m
Energy ... -16.44 eV/f.u.

Cell lengths 5.173, 5.173, 5.173 Å; angles 90.00, 90.00, 90.00 degrees
Fractional positions:
Te 0.000 0.500 0.000
Te 0.000 0.000 0.500
Te 0.500 0.000 0.000
Sn 0.500 0.500 0.500
Cu 0.000 0.000 0.000